Here is crystalline La2Ag2Ge at its relaxed geometry from the Alexandria database. Energies are from PBE.

Lattice parameters (Å, degrees): 8.962 8.962 8.962 154.73 154.73 36.05
Fractional coordinates of all 5 atoms:
La1 0.093 0.093 0.000
La2 0.907 0.907 0.000
Ag1 0.250 0.750 0.500
Ag2 0.750 0.250 0.500
Ge1 0.500 0.500 0.000

Results
The density of states at the Fermi level is 0.42 states/eV/atom. The energy of formation from the pure elements is -0.324 eV/atom. The value obtained for the total magnetic moment is 0.0 Bohr magnetons per cell. The density is 7.2 g cm⁻³.


Here is crystalline CoTe2Rh at its relaxed geometry from the Alexandria database. Energies are from PBE.

Lattice parameters (Å, degrees): 7.008 7.008 7.008 130.75 130.75 72.20
Fractional coordinates of all 8 atoms:
Co1 0.000 0.000 0.000
Co2 0.750 0.250 0.500
Te1 0.105 0.625 0.980
Te2 0.375 0.355 0.480
Te3 0.645 0.125 0.020
Te4 0.875 0.895 0.520
Rh1 0.250 0.750 0.500
Rh2 0.500 0.500 0.000

Results
The density of states at the Fermi level is 1.11 states/eV/atom. The calculation puts the formation energy (no corrections) at 0.025 eV/atom. The value obtained for the total magnetic moment is 0.0 Bohr magnetons per cell. The density is 7.2 g cm⁻³.


Here is crystalline Zr2ZnSe at its relaxed geometry from the Alexandria database. Energies are from PBE.

Lattice parameters (Å, degrees): 4.764 4.764 4.764 60.00 60.00 60.00
Fractional coordinates of all 4 atoms:
Zr1 0.250 0.250 0.250
Zr2 0.750 0.750 0.750
Zn1 0.000 0.000 0.000
Se1 0.500 0.500 0.500

Results
The density of states at the Fermi level is 0.82 states/eV/atom. The calculation puts the formation energy (no corrections) at -0.412 eV/atom. The value obtained for the total magnetic moment is 0.0 Bohr magnetons per cell. The density is 7.1 g cm⁻³.


Here is crystalline Ba6Pb2SO at its relaxed geometry from the Alexandria database. Energies are from PBE.

Lattice parameters (Å, degrees): 8.193 8.193 8.193 60.00 60.00 60.00
Fractional coordinates of all 10 atoms:
Ba1 0.238 0.238 0.762
Ba2 0.238 0.762 0.238
Ba3 0.238 0.762 0.762
Ba4 0.762 0.238 0.238
Ba5 0.762 0.238 0.762
Ba6 0.762 0.762 0.238
Pb1 0.250 0.250 0.250
Pb2 0.750 0.750 0.750
S1 0.500 0.500 0.500
O1 0.000 0.000 0.000

Results
The density of states at the Fermi level is 0.05 states/eV/atom. The calculation puts the formation energy (no corrections) at -1.186 eV/atom. The value obtained for the total magnetic moment is 0.0 Bohr magnetons per cell. The density is 5.5 g cm⁻³.


Here is crystalline SrZrBr4 at its relaxed geometry from the Alexandria database. Energies are from PBE.

Lattice parameters (Å, degrees): 6.409 6.409 6.409 60.00 60.00 60.00
Fractional coordinates of all 6 atoms:
Sr1 0.000 0.000 0.000
Zr1 0.750 0.750 0.750
Br1 0.376 0.376 0.376
Br2 0.376 0.376 0.873
Br3 0.376 0.873 0.376
Br4 0.873 0.376 0.376

Results
The density of states at the Fermi level is 1.76 states/eV/atom. The calculation puts the formation energy (no corrections) at 0.033 eV/atom. The value obtained for the total magnetic moment is 2.1 Bohr magnetons per cell. The density is 4.4 g cm⁻³.


Here is crystalline Pu4Pd3Rh at its relaxed geometry from the Alexandria database. Energies are from PBE.

Lattice parameters (Å, degrees): 6.054 6.054 6.054 109.47 109.47 109.47
Fractional coordinates of all 8 atoms:
Pu1 0.000 0.000 0.500
Pu2 0.000 0.500 0.000
Pu3 0.500 0.000 0.000
Pu4 0.500 0.500 0.500
Pd1 0.000 0.500 0.500
Pd2 0.500 0.000 0.500
Pd3 0.500 0.500 0.000
Rh1 0.000 0.000 0.000

Results
The density of states at the Fermi level is 4.43 states/eV/atom. The energy of formation from the pure elements is -0.402 eV/atom. The value obtained for the total magnetic moment is 21.9 Bohr magnetons per cell. The density is 13.6 g cm⁻³.